Entry 1:
Compound: LaMn2SiN
Source: Alexandria
Functional: PBE-GGA
Structure: optimized geometry

Structure (POSCAR):
```
LaMn2SiN
1.0
3.822 0.000 0.000
-1.911 5.419 0.000
0.000 0.000 7.068
N La Mn Si
2 2 4 2
Cartesian
0.000 0.000 0.000
0.000 0.000 3.534
0.000 4.909 5.301
1.911 0.510 1.767
0.000 1.798 6.646
1.911 3.621 3.112
1.911 3.621 0.422
0.000 1.798 3.956
0.000 2.921 1.767
1.911 2.498 5.301
```

Values from the calculation:
Formation energy from raw total energies = -16.65 kcal/mol of atoms
SG = Cmcm (63)


Entry 2:
Compound: TaAlPdBr2
Source: Alexandria
Functional: PBE-GGA
Structure: optimized geometry

Structure (POSCAR):
```
TaAlPdBr2
1.0
4.931 0.000 0.000
0.000 4.936 0.000
0.000 0.000 4.931
Pd Br Ta Al
1 2 1 1
Cartesian
0.000 2.468 0.000
0.000 0.000 2.466
2.466 0.000 0.000
2.466 2.468 2.466
0.000 0.000 0.000
```

Values from the calculation:
Formation energy from raw total energies = 23.00 kcal/mol of atoms
SG = P4/mmm (123)


Entry 3:
Compound: KCr4S6
Source: Alexandria
Functional: PBE-GGA
Structure: optimized geometry

Structure (POSCAR):
```
KCr4S6
1.0
-0.560 -1.947 -2.957
1.579 -4.048 4.539
-17.940 -1.834 4.606
S Cr K
12 8 2
Cartesian
-9.250 -1.890 0.824
-13.367 -3.771 2.842
-14.366 -7.205 5.293
-15.958 -3.947 5.622
-10.689 -6.829 4.349
-0.963 -3.882 0.566
-3.554 -4.057 3.345
-9.785 -3.316 4.037
-2.555 -0.623 0.894
-0.280 -0.974 -1.479
-7.137 -4.513 2.150
-6.232 -0.999 1.838
-1.283 -4.383 3.129
-16.552 -6.390 5.170
-11.377 -3.010 1.964
-9.027 -5.621 3.238
-15.639 -3.445 3.058
-0.369 -1.438 1.017
-5.544 -4.819 4.223
-7.895 -2.207 2.949
-4.345 -3.056 0.663
-12.576 -4.772 5.524
```

Values from the calculation:
Formation energy from raw total energies = -15.04 kcal/mol of atoms
SG = Cmcm (63)


Entry 4:
Compound: Te2IN2
Source: Alexandria
Functional: PBE-GGA
Structure: optimized geometry

Structure (POSCAR):
```
Te2IN2
1.0
11.983 0.000 0.000
0.000 11.983 0.000
0.000 0.000 2.858
N I Te
4 2 4
Cartesian
5.598 0.393 1.429
0.393 6.385 1.429
6.385 11.589 1.429
11.589 5.598 1.429
0.000 0.000 0.000
5.991 5.991 0.000
8.853 2.862 0.000
9.121 8.853 0.000
2.862 3.129 0.000
3.129 9.121 0.000
```

Values from the calculation:
Formation energy from raw total energies = 7.09 kcal/mol of atoms
Energy above the lowest structure with this stoichiometry = 0.000 eV/atom
SG = P4/mbm (127)


Entry 5:
Compound: HoErLuMn
Source: Alexandria
Functional: PBE-GGA
Structure: optimized geometry

Structure (POSCAR):
```
HoErLuMn
1.0
5.276 0.000 0.000
2.638 4.569 0.000
2.638 1.523 4.308
Mn Ho Er Lu
1 1 1 1
Cartesian
0.000 0.000 0.000
2.638 1.523 1.077
7.914 4.569 3.231
5.276 3.046 2.154
```

Values from the calculation:
ΔH_f (0 K) = 0.268 eV/atom
SG = F-43m (216)


Entry 6:
Compound: K2BaMnSe
Source: Alexandria
Functional: PBE-GGA
Structure: optimized geometry

Structure (POSCAR):
```
K2BaMnSe
1.0
-0.892 -5.545 -3.357
0.011 -2.361 3.897
-6.482 0.755 0.476
Mn K Ba Se
1 2 1 1
Cartesian
0.006 -1.181 1.949
-3.241 0.377 0.238
-0.446 -2.773 -1.679
-3.682 -3.576 0.508
0.000 0.000 0.000
```

Values from the calculation:
Formation energy from raw total energies = 6.69 kcal/mol of atoms
SG = P4/mmm (123)


Entry 7:
Compound: NaPt2F
Source: Alexandria
Functional: PBE-GGA
Structure: optimized geometry

Structure (POSCAR):
```
NaPt2F
1.0
3.537 0.000 0.000
0.000 3.537 0.000
1.768 1.768 12.999
Pt F Na
4 2 2
Cartesian
2.651 2.653 3.250
2.653 4.420 9.749
4.421 2.654 9.749
0.886 0.884 3.250
1.768 3.537 6.499
1.768 1.768 0.000
0.000 0.000 0.000
3.537 1.768 6.499
```

Values from the calculation:
Formation energy from raw total energies = -12.99 kcal/mol of atoms
Energy above the lowest structure with this stoichiometry = 0.000 eV/atom
SG = I-42d (122)


Entry 8:
Compound: Ca2ZrRu
Source: Alexandria
Functional: PBE-GGA
Structure: optimized geometry

Structure (POSCAR):
```
Ca2ZrRu
1.0
10.622 -0.006 -0.003
10.121 3.224 -0.003
10.121 1.570 2.816
Ca Zr Ru
2 1 1
Cartesian
15.894 2.466 1.447
30.403 4.717 2.767
23.149 3.592 2.107
7.716 1.197 0.702
```

Values from the calculation:
ΔH_f (0 K) = 0.464 eV/atom
Energy above the lowest structure with this stoichiometry = 0.553 eV/atom
SG = R-3m (166)


Number 1: VASP energy -81.248 eV/cell. Number 2: VASP energy -19.148 eV/cell. Number 3: VASP energy -143.057 eV/cell. Number 4: VASP energy -45.895 eV/cell. Number 5: VASP energy -21.758 eV/cell. Number 6: VASP energy -15.321 eV/cell. Number 7: VASP energy -35.052 eV/cell. Number 8: VASP energy -19.969 eV/cell.